Density functional theory data (PBE) for a relaxed SrIn2Hg crystal.

Calculated values
As for the space group: Cmcm (63).

```
SrIn2Hg
1.0
2.5002 -5.8972 0.0000
2.5002 5.8972 0.0000
0.0000 0.0000 7.7209
Sr In Hg
2 4 2
direct
0.0855 0.9145 0.7500 Sr
0.9145 0.0855 0.2500 Sr
0.3750 0.6250 0.5512 In
0.3750 0.6250 0.9488 In
0.6250 0.3750 0.0512 In
0.6250 0.3750 0.4488 In
0.2059 0.7941 0.2500 Hg
0.7941 0.2059 0.7500 Hg
```

***

Density functional theory data (PBE) for a relaxed YMgCd3 crystal.

Calculated values
As for the space group: Pm-3m (221). The energy above the most stable polymorph in this dataset is 322 meV/atom.

```
YMgCd3
1.0
5.1175 0.0000 0.0000
0.0000 5.1175 0.0000
0.0000 0.0000 5.1175
Y Mg Cd
1 1 3
direct
0.0000 0.0000 0.0000 Y
0.5000 0.5000 0.5000 Mg
0.0000 0.5000 0.5000 Cd
0.5000 0.0000 0.5000 Cd
0.5000 0.5000 0.0000 Cd
```

***

Number 1: ΔH_f (0 K) -1.42 eV per formula unit. Number 2: ΔH_f (0 K) 1.19 eV per formula unit.